ScMn2Co2 after structural relaxation, computed with GGA-PBE.

The calculation puts the total DFT energy (no corrections) at -7.6932 eV/atom. The value obtained for the relative energy among the computed polymorphs is 1.29 kcal/mol of atoms. The energy of formation is 0.083 eV per atom. The size of the total moment comes out at 0.742 μB/f.u.

The structure belongs to space group P4/mbm (No. 127); the cell edges are 7.0045, 7.0045 and 2.5249 Å and the angles 90.00°, 90.00° and 90.00°. The distinct sites, in fractional coordinates, are Sc at (0.0000, 0.0000, 0.0000), Mn at (0.1160, 0.3840, 0.0000) and Co at (0.1753, 0.6753, 0.5000).